[1]
Below is a relaxed Ac12La7Mg crystal, with properties calculated at the PBE level.

a = 10.6439 Å, b = 10.6439 Å, c = 10.6439 Å
α = 109.47°, β = 109.47°, γ = 109.47°
Fractional positions:
1 Ac 0.0725 0.8013 0.2711
2 Ac 0.1987 0.2711 0.4698
3 Ac 0.1987 0.7289 0.9275
4 Ac 0.2711 0.0725 0.8013
5 Ac 0.2711 0.4698 0.1987
6 Ac 0.4698 0.1987 0.2711
7 Ac 0.5302 0.8013 0.7289
8 Ac 0.7289 0.5302 0.8013
9 Ac 0.7289 0.9275 0.1987
10 Ac 0.8013 0.2711 0.0725
11 Ac 0.8013 0.7289 0.5302
12 Ac 0.9275 0.1987 0.7289
13 La 0.0000 0.0000 0.5000
14 La 0.0000 0.5000 0.0000
15 La 0.0000 0.5000 0.5000
16 La 0.5000 0.0000 0.0000
17 La 0.5000 0.0000 0.5000
18 La 0.5000 0.5000 0.0000
19 La 0.5000 0.5000 0.5000
20 Mg 0.0000 0.0000 0.0000

Properties
* raw total energy: -73.78 eV/cell
* formation energy from the elements: 0.581 eV per atom
* symmetry: Im-3

***

[2]
Below is a relaxed SmPaSe4 crystal, with properties calculated at the PBE level.

a = 7.9949 Å, b = 7.9949 Å, c = 7.2561 Å
α = 116.42°, β = 116.42°, γ = 30.72°
Fractional positions:
1 Sm 0.0000 0.0000 0.0000
2 Pa 0.5000 0.5000 0.5000
3 Se 0.1108 0.1108 0.7587
4 Se 0.3894 0.3894 0.7076
5 Se 0.6106 0.6106 0.2924
6 Se 0.8892 0.8892 0.2413

Properties
* raw total energy: -37.43 eV/cell
* symmetry: C2/m
* raw formation energy: -1.5458 eV/atom
* E above lowest polymorph: 0.00 eV/f.u.

***

[3]
Below is a relaxed YSb2As crystal, with properties calculated at the PBE level.

a = 4.3860 Å, b = 4.1733 Å, c = 6.0571 Å
α = 90.00°, β = 107.94°, γ = 90.00°
Fractional positions:
1 Y 0.0000 0.0000 0.0000
2 Sb 0.4403 0.5000 0.7485
3 Sb 0.5597 0.5000 0.2515
4 As 0.0000 0.0000 0.5000

Properties
* raw total energy: -21.11 eV/cell
* symmetry: P2/m
* raw formation energy: -0.4385 eV/atom

***

[4]
Below is a relaxed CaZr3Cu crystal, with properties calculated at the PBE level.

a = 5.0352 Å, b = 5.0352 Å, c = 5.0352 Å
α = 90.00°, β = 90.00°, γ = 90.00°
Fractional positions:
1 Ca 0.0000 0.0000 0.0000
2 Zr 0.0000 0.0000 0.5000
3 Zr 0.0000 0.5000 0.0000
4 Zr 0.5000 0.0000 0.0000
5 Cu 0.5000 0.5000 0.5000

Properties
* raw total energy: -22.71 eV/cell
* formation energy from the elements: 1.807 eV per atom
* symmetry: Pm-3m
* E above lowest polymorph: 6.69 eV/f.u.

***

[5]
Below is a relaxed Pm2Cd2Ga crystal, with properties calculated at the PBE level.

a = 6.0294 Å, b = 6.0294 Å, c = 6.2621 Å
α = 95.71°, β = 95.71°, γ = 38.11°
Fractional positions:
1 Pm 0.1898 0.1898 0.2201
2 Pm 0.8102 0.8102 0.7799
3 Cd 0.0836 0.0836 0.6927
4 Cd 0.9164 0.9164 0.3073
5 Ga 0.5000 0.5000 0.0000

Properties
* raw total energy: -15.35 eV/cell
* formation energy from the elements: -0.199 eV per atom
* symmetry: C2/m
* E above lowest polymorph: 0.85 eV/f.u.

***

[6]
Below is a relaxed Sr2InF7 crystal, with properties calculated at the PBE level.

a = 5.5890 Å, b = 12.4296 Å, c = 8.4053 Å
α = 90.00°, β = 90.62°, γ = 90.00°
Fractional positions:
1 Sr 0.2338 0.0621 0.3242
2 Sr 0.2338 0.4379 0.8242
3 Sr 0.2335 0.7207 0.4463
4 Sr 0.2335 0.7793 0.9463
5 Sr 0.7665 0.2207 0.0537
6 Sr 0.7665 0.2793 0.5537
7 Sr 0.7662 0.5621 0.1758
8 Sr 0.7662 0.9379 0.6758
9 In 0.2775 0.1251 0.7860
10 In 0.2775 0.3749 0.2860
11 In 0.7225 0.6251 0.7140
12 In 0.7225 0.8749 0.2140
13 F 0.0110 0.2443 0.3055
14 F 0.0110 0.2557 0.8055
15 F 0.0120 0.1046 0.5885
16 F 0.0120 0.3954 0.0885
17 F 0.1950 0.5417 0.2877
18 F 0.1950 0.9583 0.7877
19 F 0.2004 0.1392 0.0324
20 F 0.2004 0.3608 0.5324
21 F 0.3717 0.5730 0.6263
22 F 0.3717 0.9270 0.1263
23 F 0.4914 0.1043 0.5737
24 F 0.4914 0.3957 0.0737
25 F 0.4921 0.2285 0.2952
26 F 0.4921 0.2715 0.7952
27 F 0.5079 0.7285 0.2048
28 F 0.5079 0.7715 0.7048
29 F 0.5086 0.6043 0.9263
30 F 0.5086 0.8957 0.4263
31 F 0.6283 0.0730 0.8737
32 F 0.6283 0.4270 0.3737
33 F 0.7996 0.6392 0.4676
34 F 0.7996 0.8608 0.9676
35 F 0.8050 0.0417 0.2123
36 F 0.8050 0.4583 0.7123
37 F 0.9880 0.6046 0.9115
38 F 0.9880 0.8954 0.4115
39 F 0.9890 0.7443 0.1945
40 F 0.9890 0.7557 0.6945

Properties
* raw total energy: -212.45 eV/cell
* symmetry: P2_1/c
* raw formation energy: -3.3912 eV/atom

***

[7]
Below is a relaxed PuZr5 crystal, with properties calculated at the PBE level.

a = 8.4310 Å, b = 8.4310 Å, c = 3.2467 Å
α = 90.00°, β = 90.00°, γ = 143.16°
Fractional positions:
1 Pu 0.0000 0.0000 0.0000
2 Zr 0.1601 0.8399 0.5000
3 Zr 0.3287 0.6713 0.0000
4 Zr 0.5000 0.5000 0.5000
5 Zr 0.6713 0.3287 0.0000
6 Zr 0.8399 0.1601 0.5000

Properties
* raw total energy: -56.48 eV/cell
* formation energy from the elements: 0.099 eV per atom
* symmetry: Cmmm

***

[8]
Below is a relaxed K3NdSm2O6 crystal, with properties calculated at the PBE level.

a = 6.2473 Å, b = 6.2473 Å, c = 6.6353 Å
α = 99.03°, β = 99.03°, γ = 120.00°
Fractional positions:
1 K 0.0000 0.0000 0.0000
2 K 0.3327 0.6673 0.0000
3 K 0.6673 0.3327 0.0000
4 Nd 0.5000 0.5000 0.5000
5 Sm 0.1667 0.8333 0.5000
6 Sm 0.8333 0.1667 0.5000
7 O 0.0998 0.4367 0.3103
8 O 0.2264 0.2264 0.6899
9 O 0.4367 0.0998 0.3103
10 O 0.5633 0.9002 0.6897
11 O 0.7736 0.7736 0.3101
12 O 0.9002 0.5633 0.6897

Properties
* raw total energy: -79.00 eV/cell
* symmetry: C2/m
* raw formation energy: -2.6458 eV/atom

***

no.,total moment (μB/cell)
1,0.2
2,0.0
3,0.0
4,0.0
5,0.0
6,0.4
7,5.4
8,0.0